The following is a PBE calculation of an optimized crystal structure of LiMgTl4, from Alexandria via LeMat-Bulk.

* ρ: 8.5 g cm⁻³
* calculated formation energy: 0.030 eV per atom
* space group: C2/m
* ΔE to the lowest computed polymorph: 85 meV per atom
* crystal system: monoclinic
* D(E_F): 2.6 states/eV per cell
* energy: -12.8 eV for the cell shown
* size of the total moment: 0.00 Bohr magnetons per cell

a = 4.934 Å, b = 4.934 Å, c = 8.371 Å
α = 106.40°, β = 106.40°, γ = 59.61°
Fractional coordinates of all 6 atoms:
Li  0.000  0.000  0.000
Mg  0.500  0.500  0.500
Tl  0.123  0.123  0.362
Tl  0.368  0.368  0.108
Tl  0.632  0.632  0.892
Tl  0.877  0.877  0.638